No. 1
CsNa2CuAu: optimized geometry, PBE.

Results
ΔE_f: 0.068 eV per atom
Total magnetic moment: 0.00 μB per atom
ΔE to the lowest computed polymorph: 0 kJ/mol of formula units

a b c (Å): 5.5550 5.5550 5.1674
angles (deg): 90.00 90.00 90.00
Last column: nearest neighbours and their distance in Å.
Fractional coordinates of all 5 atoms:
Cs: 0.5000 0.5000 0.5000  8 Na 3.79, 4 Au 3.93
Na: 0.0000 0.5000 0.0000  2 Cu 2.78
Na: 0.5000 0.0000 0.0000  2 Cu 2.78
Au: 0.0000 0.0000 0.5000  2 Cu 2.58
Cu: 0.0000 0.0000 0.0000  2 Au 2.58, 4 Na 2.78

---

No. 2
CsNb2CuAu: optimized geometry, PBE.

Results
ΔE_f: 1.435 eV per atom
Total magnetic moment: 0.95 μB per atom

a b c (Å): 5.1536 4.9790 5.1536
angles (deg): 90.00 90.00 90.00
Last column: nearest neighbours and their distance in Å.
Fractional coordinates of all 5 atoms:
Cs: 0.5000 0.5000 0.5000  8 Nb 3.58, 4 Cu 3.64
Nb: 0.0000 0.0000 0.5000  2 Au 2.58
Nb: 0.5000 0.0000 0.0000  2 Au 2.58
Au: 0.0000 0.0000 0.0000  2 Cu 2.49, 4 Nb 2.58
Cu: 0.0000 0.5000 0.0000  2 Au 2.49

---

No. 3
CsCuAuO2: optimized geometry, PBE.

Results
Raw total energy: -4.24 eV/atom
Total magnetic moment: 0.20 μB per atom

a b c (Å): 4.9737 5.9447 7.1483
angles (deg): 114.57 90.00 90.00
Last column: nearest neighbours and their distance in Å.
Fractional coordinates of all 10 atoms:
Cs: 0.2496 0.7500 0.5000  2 O 2.89
Cs: 0.7504 0.2500 0.5000  2 O 2.89
Cu: 0.5000 0.7500 0.0000  4 O 2.05
Cu: 0.5000 0.2500 0.0000  4 O 2.05
Au: 0.0000 0.0000 0.0000  2 O 2.08
Au: 0.0000 0.5000 0.0000  2 O 2.08
O: 0.6550 0.9096 0.8192  2 Cu 2.05, 1 Au 2.08
O: 0.6550 0.5904 0.1808  2 Cu 2.05, 1 Au 2.08
O: 0.3450 0.4096 0.8192  2 Cu 2.05, 1 Au 2.08
O: 0.3450 0.0904 0.1808  2 Cu 2.05, 1 Au 2.08

---

No. 4
Cs5CuAuO2: optimized geometry, PBE.

Results
Raw total energy: -3.13 eV/atom
Total magnetic moment: 0.02 μB per atom

a b c (Å): 6.0490 6.0490 9.5488
angles (deg): 90.00 90.00 90.00
Last column: nearest neighbours and their distance in Å.
Fractional coordinates of all 9 atoms:
Cs: 0.0000 0.0000 0.5000  2 O 2.95
Cs: 0.0000 0.5000 0.7812  2 O 3.04
Cs: 0.5000 0.0000 0.2188  2 O 3.04
Cs: 0.0000 0.5000 0.2188  2 O 3.04
Cs: 0.5000 0.0000 0.7812  2 O 3.04
Cu: 0.0000 0.0000 0.0000  2 O 1.82
Au: 0.5000 0.5000 0.5000  12 Cs 4.04-4.28
O: 0.0000 0.0000 0.1908  1 Cu 1.82
O: 0.0000 0.0000 0.8092  1 Cu 1.82

---

No. 5
CsRb2CuAu: optimized geometry, PBE.

Results
ΔE_f: 0.135 eV per atom
Total magnetic moment: 0.00 μB per atom

a b c (Å): 6.7268 6.7268 5.1261
angles (deg): 90.00 90.00 90.00
Last column: nearest neighbours and their distance in Å.
Fractional coordinates of all 5 atoms:
Cs: 0.5000 0.5000 0.5000  8 Rb 4.23
Au: 0.0000 0.0000 0.5000  2 Cu 2.56
Cu: 0.0000 0.0000 0.0000  2 Au 2.56
Rb: 0.0000 0.5000 0.0000  2 Cu 3.36
Rb: 0.5000 0.0000 0.0000  2 Cu 3.36

---

No. 6
Cs2RbCuAu: optimized geometry, PBE.

Results
ΔE_f: 0.103 eV per atom
Total magnetic moment: 0.00 μB per atom
ΔE to the lowest computed polymorph: 0 kJ/mol of formula units

a b c (Å): 7.1793 7.1793 5.1188
angles (deg): 90.00 90.00 90.00
Last column: nearest neighbours and their distance in Å.
Fractional coordinates of all 5 atoms:
Cs: 0.0000 0.5000 0.0000  2 Au 3.59
Cs: 0.5000 0.0000 0.0000  2 Au 3.59
Au: 0.0000 0.0000 0.0000  2 Cu 2.56
Cu: 0.0000 0.0000 0.5000  2 Au 2.56
Rb: 0.5000 0.5000 0.5000  8 Cs 4.41

---

No. 7
CsCuAuS2: optimized geometry, PBE.

Results
Raw total energy: -3.82 eV/atom
Total magnetic moment: 0.00 μB per atom

a b c (Å): 6.2560 7.0030 6.9633
angles (deg): 90.00 90.00 116.53
Last column: nearest neighbours and their distance in Å.
Fractional coordinates of all 10 atoms:
Cs: 0.7500 0.5000 0.7667  2 Au 3.64, 6 S 3.68-3.80, 4 Cu 3.86
Cs: 0.2500 0.5000 0.2333  2 Au 3.64, 6 S 3.68-3.80, 4 Cu 3.86
Cu: 0.7500 0.0000 0.0000  4 S 2.31
Cu: 0.2500 0.0000 0.0000  4 S 2.31
Au: 0.0000 0.0000 0.5000  2 S 2.33
Au: 0.5000 0.0000 0.5000  2 S 2.33
S: 0.9206 0.8412 0.1972  2 Cu 2.31, 1 Au 2.33
S: 0.5794 0.1588 0.1972  2 Cu 2.31, 1 Au 2.33
S: 0.4206 0.8412 0.8028  2 Cu 2.31, 1 Au 2.33
S: 0.0794 0.1588 0.8028  2 Cu 2.31, 1 Au 2.33

---

No. 8
CsCuAuS: optimized geometry, PBE.

Results
Raw total energy: -3.54 eV/atom
Total magnetic moment: 0.00 μB per atom

a b c (Å): 3.9383 3.9383 13.2237
angles (deg): 90.00 90.00 90.00
Last column: nearest neighbours and their distance in Å.
Fractional coordinates of all 8 atoms:
Cs: 0.7500 0.7500 0.2540  4 S 3.44, 4 Au 3.80
Cs: 0.2500 0.2500 0.7460  4 S 3.44, 4 Au 3.80
Cu: 0.7500 0.2500 0.0000  4 S 2.38
Cu: 0.2500 0.7500 0.0000  4 S 2.38
Au: 0.2500 0.7500 0.5000  4 Au 2.78
Au: 0.7500 0.2500 0.5000  4 Au 2.78
S: 0.7500 0.7500 0.8993  4 Cu 2.38
S: 0.2500 0.2500 0.1007  4 Cu 2.38

---

No. 9
CsCu2SbAu: optimized geometry, PBE.

Results
Raw total energy: -3.36 eV/atom
Total magnetic moment: 0.00 μB per atom

a b c (Å): 4.4717 6.7739 10.0960
angles (deg): 107.41 90.00 90.00
Last column: nearest neighbours and their distance in Å.
Fractional coordinates of all 10 atoms:
Cs: 0.2500 0.0128 0.7163  2 Cu 3.34-3.44
Cs: 0.7500 0.9872 0.2837  2 Cu 3.34-3.44
Cu: 0.7500 0.4842 0.2934  2 Cu 2.58, 3 Au 2.58-2.82, 1 Sb 2.61
Cu: 0.2500 0.5158 0.7066  2 Cu 2.58, 3 Au 2.58-2.82, 1 Sb 2.61
Cu: 0.7500 0.5311 0.8364  1 Au 2.58, 2 Cu 2.58, 3 Sb 2.63-2.66
Cu: 0.2500 0.4689 0.1636  1 Au 2.58, 2 Cu 2.58, 3 Sb 2.63-2.66
Sb: 0.2500 0.6681 0.9762  4 Cu 2.61-2.66
Sb: 0.7500 0.3319 0.0238  4 Cu 2.61-2.66
Au: 0.2500 0.5037 0.4248  4 Cu 2.58-2.82, 2 Au 2.71
Au: 0.7500 0.4963 0.5752  4 Cu 2.58-2.82, 2 Au 2.71

---

No. 10
CsCuAuSe2: optimized geometry, PBE.

Results
Raw total energy: -3.54 eV/atom
Total magnetic moment: 0.00 μB per atom

a b c (Å): 7.2853 6.4516 7.0912
angles (deg): 117.06 90.00 90.00
Last column: nearest neighbours and their distance in Å.
Fractional coordinates of all 10 atoms:
Cs: 0.2579 0.7500 0.5000  2 Au 3.67, 6 Se 3.81-3.83, 4 Cu 3.96
Cs: 0.7421 0.2500 0.5000  2 Au 3.67, 6 Se 3.81-3.83, 4 Cu 3.96
Cu: 0.5000 0.7500 0.0000  4 Se 2.43
Cu: 0.5000 0.2500 0.0000  4 Se 2.43
Au: 0.0000 0.0000 0.0000  2 Se 2.46
Au: 0.0000 0.5000 0.0000  2 Se 2.46
Se: 0.6985 0.9122 0.8244  2 Cu 2.43, 1 Au 2.46
Se: 0.6985 0.5878 0.1756  2 Cu 2.43, 1 Au 2.46
Se: 0.3015 0.4122 0.8244  2 Cu 2.43, 1 Au 2.46
Se: 0.3015 0.0878 0.1756  2 Cu 2.43, 1 Au 2.46

---

No. 11
CsCu2AuSe: optimized geometry, PBE.

Results
Raw total energy: -2.98 eV/atom
Total magnetic moment: 0.00 μB per atom

a b c (Å): 5.0556 5.2774 5.0556
angles (deg): 90.00 90.00 90.00
Last column: nearest neighbours and their distance in Å.
Fractional coordinates of all 5 atoms:
Cs: 0.5000 0.5000 0.5000  4 Se 3.57, 8 Cu 3.65
Au: 0.0000 0.0000 0.0000  4 Cu 2.53, 2 Se 2.64
Cu: 0.0000 0.0000 0.5000  2 Au 2.53
Cu: 0.5000 0.0000 0.0000  2 Au 2.53
Se: 0.0000 0.5000 0.0000  2 Au 2.64

---

No. 12
CsCuAuSe: optimized geometry, PBE.

Results
Raw total energy: -3.36 eV/atom
Total magnetic moment: 0.00 μB per atom

a b c (Å): 4.0063 4.0063 13.5849
angles (deg): 90.00 90.00 90.00
Last column: nearest neighbours and their distance in Å.
Fractional coordinates of all 8 atoms:
Cs: 0.7500 0.7500 0.2674  4 Se 3.57, 4 Au 3.74
Cs: 0.2500 0.2500 0.7326  4 Se 3.57, 4 Au 3.74
Cu: 0.7500 0.2500 0.0000  4 Se 2.48
Cu: 0.2500 0.7500 0.0000  4 Se 2.48
Au: 0.2500 0.7500 0.5000  4 Au 2.83
Au: 0.7500 0.2500 0.5000  4 Au 2.83
Se: 0.7500 0.7500 0.8923  4 Cu 2.48
Se: 0.2500 0.2500 0.1077  4 Cu 2.48